1.
VASP calculation (PBE) on an optimized crystal structure of LaTh2Ga.

Calculated values
ΔE to the lowest computed polymorph	0.233	eV/atom
DOS at the Fermi energy	1.11	states/eV per atom
final energy	-67.54	eV per cell
size of the total moment	0.00	μB/f.u.
energy of formation	0.070	eV/atom

Structure (CIF):
```
data_LaTh2Ga
_chemical_formula_sum 'La3 Th6 Ga3'
_cell_length_a 3.4401
_cell_length_b 3.4401
_cell_length_c 35.2766
_cell_angle_alpha 90.00
_cell_angle_beta 90.00
_cell_angle_gamma 120.00
_symmetry_space_group_name_H-M 'R -3 m'
_symmetry_Int_Tables_number 166
_symmetry_space_group_name_Hall '-R 3 2"'
loop_
_atom_site_label
_atom_site_type_symbol
_atom_site_fract_x
_atom_site_fract_y
_atom_site_fract_z
La1 La 0.0000 0.0000 0.0000
Th1 Th 0.0000 0.0000 0.0966
Ga1 Ga 0.0000 0.0000 0.5000
```


2.
VASP calculation (PBE) on an optimized crystal structure of LaThTlGa.

Calculated values
DOS at the Fermi energy	0.49	states/eV per atom
final energy	-75.87	eV per cell
size of the total moment	0.00	μB/f.u.
energy of formation	-0.307	eV/atom

Structure (CIF):
```
data_LaThTlGa
_chemical_formula_sum 'La4 Th4 Tl4 Ga4'
_cell_length_a 7.6932
_cell_length_b 7.6932
_cell_length_c 7.6932
_cell_angle_alpha 90.00
_cell_angle_beta 90.00
_cell_angle_gamma 90.00
_symmetry_space_group_name_H-M 'F -4 3 m'
_symmetry_Int_Tables_number 216
_symmetry_space_group_name_Hall 'F -4 2 3'
loop_
_atom_site_label
_atom_site_type_symbol
_atom_site_fract_x
_atom_site_fract_y
_atom_site_fract_z
La1 La 0.0000 0.0000 0.0000
Th1 Th 0.0000 0.0000 0.5000
Tl1 Tl 0.2500 0.2500 0.2500
Ga1 Ga 0.2500 0.2500 0.7500
```


3.
VASP calculation (PBE) on an optimized crystal structure of LaTi3Ga.

Calculated values
ΔE to the lowest computed polymorph	0.740	eV/atom
DOS at the Fermi energy	0.43	states/eV per atom
final energy	-25.72	eV per cell
size of the total moment	0.00	μB/f.u.
energy of formation	1.184	eV/atom

Structure (CIF):
```
data_LaTi3Ga
_chemical_formula_sum 'La1 Ti3 Ga1'
_cell_length_a 4.7575
_cell_length_b 4.7575
_cell_length_c 4.7575
_cell_angle_alpha 90.00
_cell_angle_beta 90.00
_cell_angle_gamma 90.00
_symmetry_space_group_name_H-M 'P m -3 m'
_symmetry_Int_Tables_number 221
_symmetry_space_group_name_Hall '-P 4 2 3'
loop_
_atom_site_label
_atom_site_type_symbol
_atom_site_fract_x
_atom_site_fract_y
_atom_site_fract_z
La1 La 0.0000 0.0000 0.0000
Ti1 Ti 0.0000 0.0000 0.5000
Ga1 Ga 0.5000 0.5000 0.5000
```


4.
VASP calculation (PBE) on an optimized crystal structure of LaTi3Ga.

Calculated values
ΔE to the lowest computed polymorph	0.000	eV/atom
DOS at the Fermi energy	1.58	states/eV per atom
final energy	-29.42	eV per cell
size of the total moment	3.11	μB/f.u.
energy of formation	0.445	eV/atom

Structure (CIF):
```
data_LaTi3Ga
_chemical_formula_sum 'La1 Ti3 Ga1'
_cell_length_a 4.9158
_cell_length_b 4.9158
_cell_length_c 4.9158
_cell_angle_alpha 90.00
_cell_angle_beta 90.00
_cell_angle_gamma 90.00
_symmetry_space_group_name_H-M 'P m -3 m'
_symmetry_Int_Tables_number 221
_symmetry_space_group_name_Hall '-P 4 2 3'
loop_
_atom_site_label
_atom_site_type_symbol
_atom_site_fract_x
_atom_site_fract_y
_atom_site_fract_z
La1 La 0.0000 0.0000 0.0000
Ti1 Ti 0.0000 0.5000 0.5000
Ga1 Ga 0.5000 0.5000 0.5000
```


5.
VASP calculation (PBE) on an optimized crystal structure of LaTiGa2.

Calculated values
ΔE to the lowest computed polymorph	0.061	eV/atom
DOS at the Fermi energy	1.39	states/eV per atom
final energy	-60.93	eV per cell
size of the total moment	0.02	μB/f.u.
energy of formation	-0.358	eV/atom

Structure (CIF):
```
data_LaTiGa2
_chemical_formula_sum 'La3 Ti3 Ga6'
_cell_length_a 4.3851
_cell_length_b 4.3851
_cell_length_c 16.7098
_cell_angle_alpha 90.00
_cell_angle_beta 90.00
_cell_angle_gamma 120.00
_symmetry_space_group_name_H-M 'R -3 m'
_symmetry_Int_Tables_number 166
_symmetry_space_group_name_Hall '-R 3 2"'
loop_
_atom_site_label
_atom_site_type_symbol
_atom_site_fract_x
_atom_site_fract_y
_atom_site_fract_z
La1 La 0.0000 0.0000 0.0000
Ti1 Ti 0.0000 0.0000 0.5000
Ga1 Ga 0.0000 0.0000 0.2168
```


6.
VASP calculation (PBE) on an optimized crystal structure of LaTiGa2.

Calculated values
ΔE to the lowest computed polymorph	0.129	eV/atom
DOS at the Fermi energy	1.65	states/eV per atom
final energy	-80.15	eV per cell
size of the total moment	0.95	μB/f.u.
energy of formation	-0.290	eV/atom

Structure (CIF):
```
data_LaTiGa2
_chemical_formula_sum 'La4 Ti4 Ga8'
_cell_length_a 7.0122
_cell_length_b 7.0122
_cell_length_c 7.0122
_cell_angle_alpha 90.00
_cell_angle_beta 90.00
_cell_angle_gamma 90.00
_symmetry_space_group_name_H-M 'F m -3 m'
_symmetry_Int_Tables_number 225
_symmetry_space_group_name_Hall '-F 4 2 3'
loop_
_atom_site_label
_atom_site_type_symbol
_atom_site_fract_x
_atom_site_fract_y
_atom_site_fract_z
La1 La 0.0000 0.0000 0.0000
Ti1 Ti 0.0000 0.0000 0.5000
Ga1 Ga 0.2500 0.2500 0.2500
```


7.
VASP calculation (PBE) on an optimized crystal structure of LaTi2Ga2.

Calculated values
ΔE to the lowest computed polymorph	0.000	eV/atom
DOS at the Fermi energy	1.34	states/eV per atom
final energy	-56.64	eV per cell
size of the total moment	0.00	μB/f.u.
energy of formation	-0.310	eV/atom

Structure (CIF):
```
data_LaTi2Ga2
_chemical_formula_sum 'La2 Ti4 Ga4'
_cell_length_a 8.1764
_cell_length_b 8.1764
_cell_length_c 2.9293
_cell_angle_alpha 90.00
_cell_angle_beta 90.00
_cell_angle_gamma 90.00
_symmetry_space_group_name_H-M 'P 4/m b m'
_symmetry_Int_Tables_number 127
_symmetry_space_group_name_Hall '-P 4 2ab'
loop_
_atom_site_label
_atom_site_type_symbol
_atom_site_fract_x
_atom_site_fract_y
_atom_site_fract_z
La1 La 0.0000 0.0000 0.0000
Ti1 Ti 0.1210 0.3790 0.0000
Ga1 Ga 0.1713 0.6713 0.5000
```


8.
VASP calculation (PBE) on an optimized crystal structure of LaTiGa2.

Calculated values
ΔE to the lowest computed polymorph	0.000	eV/atom
DOS at the Fermi energy	0.69	states/eV per atom
final energy	-20.55	eV per cell
size of the total moment	0.77	μB/f.u.
energy of formation	-0.419	eV/atom

Structure (CIF):
```
data_LaTiGa2
_chemical_formula_sum 'La1 Ti1 Ga2'
_cell_length_a 3.5004
_cell_length_b 3.5004
_cell_length_c 6.8441
_cell_angle_alpha 90.00
_cell_angle_beta 90.00
_cell_angle_gamma 90.00
_symmetry_space_group_name_H-M 'P 4/m m m'
_symmetry_Int_Tables_number 123
_symmetry_space_group_name_Hall '-P 4 2'
loop_
_atom_site_label
_atom_site_type_symbol
_atom_site_fract_x
_atom_site_fract_y
_atom_site_fract_z
La1 La 0.0000 0.0000 0.0000
Ti1 Ti 0.0000 0.0000 0.5000
Ga1 Ga 0.5000 0.5000 0.3062
```


9.
VASP calculation (PBE) on an optimized crystal structure of LaTi2Ga2.

Calculated values
ΔE to the lowest computed polymorph	0.044	eV/atom
DOS at the Fermi energy	0.88	states/eV per atom
final energy	-56.20	eV per cell
size of the total moment	0.00	μB/f.u.
energy of formation	-0.266	eV/atom

Structure (CIF):
```
data_LaTi2Ga2
_chemical_formula_sum 'La2 Ti4 Ga4'
_cell_length_a 7.9002
_cell_length_b 7.9002
_cell_length_c 3.1460
_cell_angle_alpha 90.00
_cell_angle_beta 90.00
_cell_angle_gamma 90.00
_symmetry_space_group_name_H-M 'P 4/m b m'
_symmetry_Int_Tables_number 127
_symmetry_space_group_name_Hall '-P 4 2ab'
loop_
_atom_site_label
_atom_site_type_symbol
_atom_site_fract_x
_atom_site_fract_y
_atom_site_fract_z
La1 La 0.0000 0.0000 0.0000
Ti1 Ti 0.1755 0.3245 0.5000
Ga1 Ga 0.1184 0.6184 0.0000
```


10.
VASP calculation (PBE) on an optimized crystal structure of LaTiGa2.

Calculated values
ΔE to the lowest computed polymorph	0.443	eV/atom
DOS at the Fermi energy	1.06	states/eV per atom
final energy	-75.13	eV per cell
size of the total moment	0.00	μB/f.u.
energy of formation	0.024	eV/atom

Structure (CIF):
```
data_LaTiGa2
_chemical_formula_sum 'La4 Ti4 Ga8'
_cell_length_a 4.7611
_cell_length_b 4.7611
_cell_length_c 18.1045
_cell_angle_alpha 90.00
_cell_angle_beta 90.00
_cell_angle_gamma 90.00
_symmetry_space_group_name_H-M 'I -4 2 d'
_symmetry_Int_Tables_number 122
_symmetry_space_group_name_Hall 'I -4 2bw'
loop_
_atom_site_label
_atom_site_type_symbol
_atom_site_fract_x
_atom_site_fract_y
_atom_site_fract_z
La1 La 0.0000 0.0000 0.0000
Ti1 Ti 0.0000 0.0000 0.5000
Ga1 Ga 0.1088 0.2500 0.6250
```


11.
VASP calculation (PBE) on an optimized crystal structure of La2TiGa2.

Calculated values
ΔE to the lowest computed polymorph	0.452	eV/atom
DOS at the Fermi energy	1.02	states/eV per atom
final energy	-46.16	eV per cell
size of the total moment	0.74	μB/f.u.
energy of formation	0.144	eV/atom

Structure (CIF):
```
data_La2TiGa2
_chemical_formula_sum 'La4 Ti2 Ga4'
_cell_length_a 4.2630
_cell_length_b 4.2630
_cell_length_c 13.7448
_cell_angle_alpha 90.00
_cell_angle_beta 90.00
_cell_angle_gamma 90.00
_symmetry_space_group_name_H-M 'I 4/m m m'
_symmetry_Int_Tables_number 139
_symmetry_space_group_name_Hall '-I 4 2'
loop_
_atom_site_label
_atom_site_type_symbol
_atom_site_fract_x
_atom_site_fract_y
_atom_site_fract_z
La1 La 0.0000 0.5000 0.2500
Ti1 Ti 0.0000 0.0000 0.0000
Ga1 Ga 0.0000 0.0000 0.4146
```


12.
VASP calculation (PBE) on an optimized crystal structure of La2TiGa2.

Calculated values
ΔE to the lowest computed polymorph	0.000	eV/atom
DOS at the Fermi energy	1.12	states/eV per atom
final energy	-50.69	eV per cell
size of the total moment	0.19	μB/f.u.
energy of formation	-0.308	eV/atom

Structure (CIF):
```
data_La2TiGa2
_chemical_formula_sum 'La4 Ti2 Ga4'
_cell_length_a 7.4126
_cell_length_b 7.4126
_cell_length_c 4.6509
_cell_angle_alpha 90.00
_cell_angle_beta 90.00
_cell_angle_gamma 90.00
_symmetry_space_group_name_H-M 'P 4/m b m'
_symmetry_Int_Tables_number 127
_symmetry_space_group_name_Hall '-P 4 2ab'
loop_
_atom_site_label
_atom_site_type_symbol
_atom_site_fract_x
_atom_site_fract_y
_atom_site_fract_z
La1 La 0.1716 0.3284 0.0000
Ti1 Ti 0.0000 0.0000 0.5000
Ga1 Ga 0.1311 0.6311 0.5000
```


Question: The highest size of the total moment belongs to which entry?
Answer: number 4


Question: Which formula does entry 4 have?
Answer: LaTi3Ga


Question: The lowest final energy belongs to which entry?
Answer: number 6